No. 1
SmLu2Sn | PBE | relaxed

POSCAR file:
```
SmLu2Sn
1.0
-2.324 -2.278 1.236
1.010 -2.488 2.215
-2.652 5.598 10.231
Lu Sm Sn
2 1 1
Direct
0.087 0.087 0.740 Lu
0.913 0.913 0.260 Lu
0.500 0.500 0.500 Sm
0.000 0.000 0.000 Sn
```

Computed properties:
The crystal system is trigonal. The formation energy is 0.3 eV/f.u. The calculation puts the total energy at -4.3759 eV per atom. Its space-group type is R-3m, No. 166. The value obtained for the volume is 30.94 Å³ per atom. The value obtained for the distance to the lowest polymorph of the same formula is 1.83 eV/f.u.

---

No. 2
SmLu2Sn | PBE | relaxed

POSCAR file:
```
SmLu2Sn
1.0
4.768 0.000 0.000
0.000 4.791 0.000
0.000 0.000 4.791
Sm Lu Sn
1 2 1
Direct
0.500 0.500 0.500 Sm
0.000 0.500 0.000 Lu
0.000 0.000 0.500 Lu
0.500 0.000 0.000 Sn
```

Computed properties:
The crystal system is tetragonal. The formation energy is -1.6 eV/f.u. The calculation puts the total energy at -4.8338 eV per atom. Its space-group type is P4/mmm, No. 123. The value obtained for the volume is 27.36 Å³ per atom. The value obtained for the distance to the lowest polymorph of the same formula is 0.00 eV/f.u.

---

No. 3
SmLu2Sn | PBE | relaxed

POSCAR file:
```
SmLu2Sn
1.0
3.689 0.000 0.000
0.000 3.689 0.000
0.000 0.000 8.497
Sn Lu Sm
1 2 1
Direct
0.500 0.500 0.000 Sn
0.000 0.000 0.781 Lu
0.000 0.000 0.219 Lu
0.500 0.500 0.500 Sm
```

Computed properties:
The crystal system is tetragonal. The formation energy is -1.1 eV/f.u. The calculation puts the total energy at -4.7267 eV per atom. Its space-group type is P4/mmm, No. 123. The value obtained for the volume is 28.90 Å³ per atom. The value obtained for the distance to the lowest polymorph of the same formula is 0.43 eV/f.u.

---

No. 4
TbSmLuSn | PBE | relaxed

POSCAR file:
```
TbSmLuSn
1.0
5.416 0.000 0.000
2.708 4.691 0.000
2.708 1.564 4.423
Lu Sn Sm Tb
1 1 1 1
Direct
0.000 0.000 0.000 Lu
0.500 0.500 0.500 Sn
0.250 0.250 0.250 Sm
0.750 0.750 0.750 Tb
```

Computed properties:
The crystal system is cubic. The formation energy is -1.0 eV/f.u. The calculation puts the total energy at -4.7156 eV per atom. Its space-group type is F-43m, No. 216. The value obtained for the volume is 28.09 Å³ per atom.

---

No. 5
SmLuTlSn | PBE | relaxed

POSCAR file:
```
SmLuTlSn
1.0
-1.533 -2.744 -4.350
3.647 -1.549 -3.619
1.265 -5.193 -0.481
Tl Sn Lu Sm
1 1 1 1
Direct
0.250 0.250 0.250 Tl
0.750 0.750 0.750 Sn
0.000 0.000 0.000 Lu
0.500 0.500 0.500 Sm
```

Computed properties:
The crystal system is cubic. The formation energy is -1.7 eV/f.u. The calculation puts the total energy at -4.3223 eV per atom. Its space-group type is F-43m, No. 216. The value obtained for the volume is 27.33 Å³ per atom.

---

No. 6
SrSm2Lu | PBE | relaxed

POSCAR file:
```
SrSm2Lu
1.0
-1.327 0.661 3.762
-3.455 -1.908 -0.883
3.698 -7.946 2.700
Sr Lu Sm
1 1 2
Direct
0.500 0.500 0.500 Sr
0.500 0.500 0.000 Lu
0.000 0.000 0.202 Sm
0.000 0.000 0.798 Sm
```

Computed properties:
The crystal system is tetragonal. The formation energy is 0.4 eV/f.u. The calculation puts the total energy at -3.7990 eV per atom. Its space-group type is P4/mmm, No. 123. The value obtained for the volume is 37.49 Å³ per atom. The value obtained for the distance to the lowest polymorph of the same formula is 0.00 eV/f.u.

---

No. 7
SrSm2Lu | PBE | relaxed

POSCAR file:
```
SrSm2Lu
1.0
3.622 0.000 0.000
1.811 3.137 0.000
1.811 1.046 12.910
Sm Sr Lu
2 1 1
Direct
0.094 0.094 0.717 Sm
0.906 0.906 0.283 Sm
0.000 0.000 0.000 Sr
0.500 0.500 0.500 Lu
```

Computed properties:
The crystal system is trigonal. The formation energy is 0.8 eV/f.u. The calculation puts the total energy at -3.7003 eV per atom. Its space-group type is R-3m, No. 166. The value obtained for the volume is 36.67 Å³ per atom. The value obtained for the distance to the lowest polymorph of the same formula is 0.39 eV/f.u.

---

No. 8
SrSm2Lu | PBE | relaxed

POSCAR file:
```
SrSm2Lu
1.0
-1.051 -2.667 4.373
2.860 -4.000 -1.752
4.239 2.040 2.263
Sm Lu Sr
2 1 1
Direct
0.000 0.000 0.500 Sm
0.000 0.500 0.000 Sm
0.500 0.000 0.000 Lu
0.500 0.500 0.500 Sr
```

Computed properties:
The crystal system is tetragonal. The formation energy is 0.8 eV/f.u. The calculation puts the total energy at -3.7116 eV per atom. Its space-group type is P4/mmm, No. 123. The value obtained for the volume is 35.62 Å³ per atom. The value obtained for the distance to the lowest polymorph of the same formula is 0.35 eV/f.u.

---

No. 9
TbSm2Lu | PBE | relaxed

POSCAR file:
```
TbSm2Lu
1.0
-0.266 -1.712 -3.122
-0.855 -3.008 1.723
-9.757 2.472 -0.526
Lu Sm Tb
1 2 1
Direct
0.500 0.500 0.000 Lu
0.000 0.000 0.246 Sm
0.000 0.000 0.754 Sm
0.500 0.500 0.500 Tb
```

Computed properties:
The crystal system is tetragonal. The formation energy is 0.1 eV/f.u. The calculation puts the total energy at -4.6244 eV per atom. Its space-group type is P4/mmm, No. 123. The value obtained for the volume is 32.12 Å³ per atom. The value obtained for the distance to the lowest polymorph of the same formula is 0.01 eV/f.u.

---

No. 10
TbSm2Lu | PBE | relaxed

POSCAR file:
```
TbSm2Lu
1.0
5.685 0.000 0.000
2.842 4.923 0.000
2.842 1.641 4.642
Sm Lu Tb
2 1 1
Direct
0.250 0.250 0.250 Sm
0.750 0.750 0.750 Sm
0.500 0.500 0.500 Lu
0.000 0.000 0.000 Tb
```

Computed properties:
The crystal system is cubic. The formation energy is 0.5 eV/f.u. The calculation puts the total energy at -4.5279 eV per atom. Its space-group type is Fm-3m, No. 225. The value obtained for the volume is 32.48 Å³ per atom. The value obtained for the distance to the lowest polymorph of the same formula is 0.40 eV/f.u.

---

No. 11
TbSm2Lu | PBE | relaxed

POSCAR file:
```
TbSm2Lu
1.0
3.573 0.000 0.000
1.786 3.094 0.000
1.786 1.031 11.570
Lu Sm Tb
1 2 1
Direct
0.000 0.000 0.000 Lu
0.749 0.749 0.753 Sm
0.251 0.251 0.247 Sm
0.500 0.500 0.500 Tb
```

Computed properties:
The crystal system is trigonal. The formation energy is 0.1 eV/f.u. The calculation puts the total energy at -4.6276 eV per atom. Its space-group type is R-3m, No. 166. The value obtained for the volume is 31.97 Å³ per atom. The value obtained for the distance to the lowest polymorph of the same formula is 0.00 eV/f.u.

---

No. 12
TbSm2Lu | PBE | relaxed

POSCAR file:
```
TbSm2Lu
1.0
-2.323 -4.011 1.924
-0.145 -2.118 -4.590
4.481 -2.180 0.864
Sm Lu Tb
2 1 1
Direct
0.000 0.500 0.000 Sm
0.000 0.000 0.500 Sm
0.500 0.000 0.000 Lu
0.500 0.500 0.500 Tb
```

Computed properties:
The crystal system is tetragonal. The formation energy is 0.1 eV/f.u. The calculation puts the total energy at -4.6261 eV per atom. Its space-group type is P4/mmm, No. 123. The value obtained for the volume is 32.09 Å³ per atom. The value obtained for the distance to the lowest polymorph of the same formula is 0.01 eV/f.u.